1.
Entry from Alexandria: an optimized crystal structure of Sr2LiSn4Ir3 (PBE).

abc: 4.689 4.689 10.525
angles: 90.00 90.00 90.00
Sites, in units of the cell vectors:
Sr 0.000 0.500 0.247
Sr 0.500 0.000 0.753
Li 0.500 0.500 0.000
Sn 0.000 0.000 0.500
Sn 0.000 0.500 0.877
Sn 0.500 0.000 0.123
Sn 0.500 0.500 0.500
Ir 0.000 0.000 0.000
Ir 0.000 0.500 0.628
Ir 0.500 0.000 0.372

Values from the calculation:
ΔH_f (0 K) = -0.478 eV per atom



2.
Entry from Alexandria: an optimized crystal structure of LiTh2Sn3Ir4 (PBE).

abc: 4.180 4.180 12.100
angles: 90.00 90.00 90.00
Sites, in units of the cell vectors:
Li 0.000 0.000 0.000
Th 0.000 0.500 0.767
Th 0.500 0.000 0.233
Sn 0.000 0.500 0.371
Sn 0.500 0.000 0.629
Sn 0.500 0.500 0.000
Ir 0.000 0.000 0.500
Ir 0.000 0.500 0.154
Ir 0.500 0.000 0.846
Ir 0.500 0.500 0.500

Values from the calculation:
ΔH_f (0 K) = -0.526 eV per atom



3.
Entry from Alexandria: an optimized crystal structure of Li2TiSnIr (PBE).

abc: 4.490 4.490 5.148
angles: 90.00 90.00 90.00
Sites, in units of the cell vectors:
Li 0.000 0.500 0.000
Li 0.500 0.000 0.000
Ti 0.000 0.000 0.500
Sn 0.000 0.000 0.000
Ir 0.500 0.500 0.500

Values from the calculation:
ΔH_f (0 K) = 0.940 eV per atom



Q: What is the ΔH_f (0 K) in the second record?
A: -0.526 eV per atom